# 1
# PBE SrPaNiAs2, relaxed
# - Spin magnetization: 0.00 μB per formula unit
# - Theoretical density: 7.26 Mg/m³
# - DFT formation energy: -655 meV per atom
# - Electronic total energy: -5.91 eV/atom
data_SrPaNiAs2
_space_group_name_H-M_alt 'P 1'
_space_group_IT_number 1
_cell_length_a 4.011
_cell_length_b 4.011
_cell_length_c 8.650
_cell_angle_alpha 90.00
_cell_angle_beta 90.00
_cell_angle_gamma 120.00
loop_
_space_group_symop_operation_xyz
'x,y,z'
loop_
_atom_site_label
_atom_site_type_symbol
_atom_site_fract_x
_atom_site_fract_y
_atom_site_fract_z
As1 As 0.333 0.667 0.220
As2 As 0.667 0.333 0.738
Sr1 Sr 0.000 0.000 0.978
Ni1 Ni 0.333 0.667 0.642
Pa1 Pa 0.667 0.333 0.423



# 2
# PBE PaTiNi2As2, relaxed
# - Spin magnetization: 0.00 μB per formula unit
# - Theoretical density: 9.34 Mg/m³
# - DFT formation energy: -736 meV per atom
# - Electronic total energy: -7.11 eV/atom
data_PaTiNi2As2
_space_group_name_H-M_alt 'P 1'
_space_group_IT_number 1
_cell_length_a 4.005
_cell_length_b 4.005
_cell_length_c 6.993
_cell_angle_alpha 90.00
_cell_angle_beta 90.00
_cell_angle_gamma 120.00
loop_
_space_group_symop_operation_xyz
'x,y,z'
loop_
_atom_site_label
_atom_site_type_symbol
_atom_site_fract_x
_atom_site_fract_y
_atom_site_fract_z
Ti1 Ti 0.000 0.000 0.500
As1 As 0.667 0.333 0.730
As2 As 0.333 0.667 0.270
Ni1 Ni 0.333 0.667 0.710
Ni2 Ni 0.667 0.333 0.290
Pa1 Pa 0.000 0.000 0.000



# 3
# PBE Pa2TiNi4As3, relaxed
# - Spin magnetization: 1.03 μB per formula unit
# - Theoretical density: 9.98 Mg/m³
# - DFT formation energy: -648 meV per atom
# - Electronic total energy: -7.04 eV/atom
data_Pa2TiNi4As3
_space_group_name_H-M_alt 'P 1'
_space_group_IT_number 1
_cell_length_a 3.992
_cell_length_b 3.992
_cell_length_c 10.119
_cell_angle_alpha 90.00
_cell_angle_beta 90.00
_cell_angle_gamma 90.00
loop_
_space_group_symop_operation_xyz
'x,y,z'
loop_
_atom_site_label
_atom_site_type_symbol
_atom_site_fract_x
_atom_site_fract_y
_atom_site_fract_z
As1 As 0.000 0.000 0.500
As2 As 0.000 0.500 0.129
As3 As 0.500 0.000 0.871
Pa1 Pa 0.000 0.500 0.760
Pa2 Pa 0.500 0.000 0.240
Ni1 Ni 0.000 0.500 0.358
Ni2 Ni 0.000 0.000 0.000
Ni3 Ni 0.500 0.000 0.642
Ni4 Ni 0.500 0.500 0.000
Ti1 Ti 0.500 0.500 0.500



# 4
# PBE NiAsPb2, relaxed
# - Spin magnetization: 0.00 μB per formula unit
# - Theoretical density: 10.00 Mg/m³
# - DFT formation energy: 46 meV per atom
# - Electronic total energy: -4.42 eV/atom
data_NiAsPb2
_space_group_name_H-M_alt 'P 1'
_space_group_IT_number 1
_cell_length_a 3.329
_cell_length_b 3.294
_cell_length_c 8.295
_cell_angle_alpha 90.00
_cell_angle_beta 90.00
_cell_angle_gamma 90.00
loop_
_space_group_symop_operation_xyz
'x,y,z'
loop_
_atom_site_label
_atom_site_type_symbol
_atom_site_fract_x
_atom_site_fract_y
_atom_site_fract_z
As1 As 0.000 0.000 0.577
Pb1 Pb 0.000 0.000 0.944
Pb2 Pb 0.500 0.500 0.293
Ni1 Ni 0.500 0.500 0.686



# 5
# PBE NiAsPb2, relaxed
# - Spin magnetization: 0.00 μB per formula unit
# - Theoretical density: 9.78 Mg/m³
# - DFT formation energy: 334 meV per atom
# - Electronic total energy: -4.13 eV/atom
data_NiAsPb2
_space_group_name_H-M_alt 'P 1'
_space_group_IT_number 1
_cell_length_a 3.895
_cell_length_b 4.085
_cell_length_c 6.394
_cell_angle_alpha 66.21
_cell_angle_beta 90.00
_cell_angle_gamma 90.00
loop_
_space_group_symop_operation_xyz
'x,y,z'
loop_
_atom_site_label
_atom_site_type_symbol
_atom_site_fract_x
_atom_site_fract_y
_atom_site_fract_z
Ni1 Ni 0.500 0.750 0.750
As1 As 0.500 0.250 0.250
Pb1 Pb 0.000 0.923 0.986
Pb2 Pb 0.000 0.577 0.514



# 6
# PBE Ni3AsPb, relaxed
# - Spin magnetization: 0.00 μB per formula unit
# - Theoretical density: 7.17 Mg/m³
# - DFT formation energy: 1254 meV per atom
# - Electronic total energy: -3.89 eV/atom
data_Ni3AsPb
_space_group_name_H-M_alt 'P 1'
_space_group_IT_number 1
_cell_length_a 4.734
_cell_length_b 4.734
_cell_length_c 4.734
_cell_angle_alpha 90.00
_cell_angle_beta 90.00
_cell_angle_gamma 90.00
loop_
_space_group_symop_operation_xyz
'x,y,z'
loop_
_atom_site_label
_atom_site_type_symbol
_atom_site_fract_x
_atom_site_fract_y
_atom_site_fract_z
Ni1 Ni 0.500 0.000 0.000
Ni2 Ni 0.000 0.000 0.500
Ni3 Ni 0.000 0.500 0.000
Pb1 Pb 0.000 0.000 0.000
As1 As 0.500 0.500 0.500



# 7
# PBE NiAsPb2, relaxed
# - Spin magnetization: 0.00 μB per formula unit
# - Theoretical density: 9.55 Mg/m³
# - DFT formation energy: 16 meV per atom
# - Electronic total energy: -4.45 eV/atom
data_NiAsPb2
_space_group_name_H-M_alt 'P 1'
_space_group_IT_number 1
_cell_length_a 9.111
_cell_length_b 9.111
_cell_length_c 9.111
_cell_angle_alpha 22.28
_cell_angle_beta 22.28
_cell_angle_gamma 22.28
loop_
_space_group_symop_operation_xyz
'x,y,z'
loop_
_atom_site_label
_atom_site_type_symbol
_atom_site_fract_x
_atom_site_fract_y
_atom_site_fract_z
Pb1 Pb 0.241 0.241 0.241
Pb2 Pb 0.022 0.022 0.022
Ni1 Ni 0.765 0.765 0.765
As1 As 0.473 0.473 0.473



# 8
# PBE NiAsPb2, relaxed
# - Spin magnetization: 0.00 μB per formula unit
# - Theoretical density: 9.45 Mg/m³
# - DFT formation energy: 20 meV per atom
# - Electronic total energy: -4.44 eV/atom
data_NiAsPb2
_space_group_name_H-M_alt 'P 1'
_space_group_IT_number 1
_cell_length_a 4.148
_cell_length_b 4.764
_cell_length_c 5.266
_cell_angle_alpha 67.72
_cell_angle_beta 90.00
_cell_angle_gamma 90.00
loop_
_space_group_symop_operation_xyz
'x,y,z'
loop_
_atom_site_label
_atom_site_type_symbol
_atom_site_fract_x
_atom_site_fract_y
_atom_site_fract_z
Pb1 Pb 0.500 0.286 0.309
Pb2 Pb 0.000 0.935 0.926
Ni1 Ni 0.500 0.677 0.717
As1 As 0.000 0.603 0.547



# 9
# PBE Ni3AsPb, relaxed
# - Spin magnetization: 0.00 μB per formula unit
# - Theoretical density: 8.65 Mg/m³
# - DFT formation energy: 196 meV per atom
# - Electronic total energy: -4.94 eV/atom
data_Ni3AsPb
_space_group_name_H-M_alt 'P 1'
_space_group_IT_number 1
_cell_length_a 4.448
_cell_length_b 4.448
_cell_length_c 4.448
_cell_angle_alpha 90.00
_cell_angle_beta 90.00
_cell_angle_gamma 90.00
loop_
_space_group_symop_operation_xyz
'x,y,z'
loop_
_atom_site_label
_atom_site_type_symbol
_atom_site_fract_x
_atom_site_fract_y
_atom_site_fract_z
Ni1 Ni 0.000 0.000 0.500
Ni2 Ni 0.000 0.500 0.000
Ni3 Ni 0.500 0.000 0.000
Pb1 Pb 0.500 0.500 0.500
As1 As 0.000 0.000 0.000



# 10
# PBE NiAsPb2, relaxed
# - Spin magnetization: 0.00 μB per formula unit
# - Theoretical density: 9.89 Mg/m³
# - DFT formation energy: 363 meV per atom
# - Electronic total energy: -4.10 eV/atom
data_NiAsPb2
_space_group_name_H-M_alt 'P 1'
_space_group_IT_number 1
_cell_length_a 5.401
_cell_length_b 5.401
_cell_length_c 5.401
_cell_angle_alpha 133.73
_cell_angle_beta 123.92
_cell_angle_gamma 75.57
loop_
_space_group_symop_operation_xyz
'x,y,z'
loop_
_atom_site_label
_atom_site_type_symbol
_atom_site_fract_x
_atom_site_fract_y
_atom_site_fract_z
Ni1 Ni 0.250 0.750 0.500
Pb1 Pb 0.031 0.031 0.000
Pb2 Pb 0.469 0.469 0.000
As1 As 0.750 0.250 0.500



# 11
# PBE NiAsPb3, relaxed
# - Spin magnetization: 0.00 μB per formula unit
# - Theoretical density: 7.28 Mg/m³
# - DFT formation energy: 936 meV per atom
# - Electronic total energy: -3.38 eV/atom
data_NiAsPb3
_space_group_name_H-M_alt 'P 1'
_space_group_IT_number 1
_cell_length_a 5.564
_cell_length_b 5.564
_cell_length_c 5.564
_cell_angle_alpha 90.00
_cell_angle_beta 90.00
_cell_angle_gamma 90.00
loop_
_space_group_symop_operation_xyz
'x,y,z'
loop_
_atom_site_label
_atom_site_type_symbol
_atom_site_fract_x
_atom_site_fract_y
_atom_site_fract_z
Ni1 Ni 0.500 0.500 0.500
As1 As 0.000 0.000 0.000
Pb1 Pb 0.000 0.500 0.000
Pb2 Pb 0.000 0.000 0.500
Pb3 Pb 0.500 0.000 0.000



# 12
# PBE NiAsPb2, relaxed
# - Spin magnetization: 0.00 μB per formula unit
# - Theoretical density: 9.92 Mg/m³
# - DFT formation energy: 476 meV per atom
# - Electronic total energy: -3.99 eV/atom
data_NiAsPb2
_space_group_name_H-M_alt 'P 1'
_space_group_IT_number 1
_cell_length_a 5.063
_cell_length_b 5.063
_cell_length_c 5.063
_cell_angle_alpha 60.00
_cell_angle_beta 60.00
_cell_angle_gamma 60.00
loop_
_space_group_symop_operation_xyz
'x,y,z'
loop_
_atom_site_label
_atom_site_type_symbol
_atom_site_fract_x
_atom_site_fract_y
_atom_site_fract_z
Pb1 Pb 0.000 0.000 0.000
Pb2 Pb 0.250 0.250 0.250
As1 As 0.500 0.500 0.500
Ni1 Ni 0.750 0.750 0.750



# 13
# PBE NiAsPb2, relaxed
# - Spin magnetization: 0.00 μB per formula unit
# - Theoretical density: 9.88 Mg/m³
# - DFT formation energy: 387 meV per atom
# - Electronic total energy: -4.07 eV/atom
data_NiAsPb2
_space_group_name_H-M_alt 'P 1'
_space_group_IT_number 1
_cell_length_a 5.768
_cell_length_b 5.768
_cell_length_c 5.768
_cell_angle_alpha 135.78
_cell_angle_beta 135.78
_cell_angle_gamma 64.33
loop_
_space_group_symop_operation_xyz
'x,y,z'
loop_
_atom_site_label
_atom_site_type_symbol
_atom_site_fract_x
_atom_site_fract_y
_atom_site_fract_z
Pb1 Pb 0.250 0.750 0.500
Pb2 Pb 0.000 0.000 0.000
Ni1 Ni 0.750 0.250 0.500
As1 As 0.500 0.500 0.000